The following is a PBE calculation of a relaxed Nd2GaCu2Pt5 crystal, from Alexandria via LeMat-Bulk.

Calculated values
Its density of states at the Fermi level is 6.03 states/eV per cell. The value obtained for the formation energy from the elements is -0.756 eV/atom. As for the calculated volume: 176.8 Å³/f.u.

a b c (Å): 3.8691 9.5608 9.5608
angles (deg): 90.00 90.00 90.00
Atoms (fractional coordinates):
Cu 0.0000 0.6225 0.8775
Pt 0.5000 0.5000 0.0000
Pt 0.5000 0.7045 0.4361
Cu 0.0000 0.8775 0.3775
Cu 0.0000 0.3775 0.1225
Pt 0.5000 0.2045 0.0639
Nd 0.0000 0.6761 0.1761
Pt 0.5000 0.0639 0.7955
Pt 0.5000 0.0000 0.5000
Ga 0.0000 0.0000 0.0000
Pt 0.5000 0.7955 0.9361
Pt 0.5000 0.9361 0.2045
Nd 0.0000 0.8239 0.6761
Nd 0.0000 0.1761 0.3239
Pt 0.5000 0.4361 0.2955
Cu 0.0000 0.1225 0.6225
Pt 0.5000 0.5639 0.7045
Nd 0.0000 0.3239 0.8239
Ga 0.0000 0.5000 0.5000
Pt 0.5000 0.2955 0.5639